Computed, not measured: a geometry-optimized PaZn structure at the PBE-GGA level of DFT.

Results
Calculated formation energy ... 0.09 eV/atom
Size of the total moment ... 0.14 μB per formula unit
Calculated volume ... 20.34 Å³ per atom
Raw total energy ... -63.516 eV/cell

Lattice parameters (Å, degrees): 4.9844 9.0499 5.4111 90.00 90.00 90.00
With the nearest neighbours (Å) after each atom.
Space group Pmc2_1 (No. 26)
One atom of each set of equivalent atoms:
Pa1 0.0000 0.0840 0.0000  3 Pa 2.92-3.10, 9 Zn 3.00-3.16
Pa2 0.0000 0.4064 0.0329  7 Pa 2.90-3.23, 5 Zn 2.99-3.19
Pa3 0.5000 0.4119 0.7584  6 Pa 2.90-3.23, 5 Zn 3.05-3.23
Zn1 0.0000 0.2469 0.5158  4 Zn 2.89-3.06, 8 Pa 2.99-3.19
Zn2 0.5000 0.0778 0.6793  2 Zn 2.70-2.78
Zn3 0.5000 0.2270 0.2471  4 Zn 2.70-2.89


Computed, not measured: a geometry-optimized Ni3SnSe4 structure at the PBE-GGA level of DFT.

Results
Size of the total moment ... 0.01 μB per formula unit
Calculated volume ... 21.47 Å³ per atom
Raw total energy ... -73.301 eV/cell

Lattice parameters (Å, degrees): 5.5714 5.5714 11.0686 90.00 90.00 90.00
With the nearest neighbours (Å) after each atom.
Space group I-42m (No. 121)
One atom of each set of equivalent atoms:
Ni1 0.0000 0.0000 0.0000  4 Se 2.33
Ni2 0.0000 0.5000 0.2500  4 Se 2.33
Sn1 0.0000 0.0000 0.5000  4 Se 2.69
Se1 0.2206 0.2206 0.1396  3 Ni 2.33